Entry from the Alexandria database: La2YCd after structural relaxation (PBE).

As for the uncorrected energy: -4.471 eV per atom.

The space group is I4/mmm (No. 139) and the conventional cell measures 5.3394, 5.3394 and 17.9883 Å, with angles of 90.00, 90.00 and 90.00 degrees. The inequivalent atoms are La at (0.0000, 0.0000, 0.1362), La at (0.0000, 0.5000, 0.0000), Y at (0.0000, 0.0000, 0.3553) and Cd at (0.0000, 0.5000, 0.2500).

Entry from the Alexandria database: SbTeSN2 after structural relaxation (PBE).

Its energy above the most stable polymorph in this dataset is 465 meV per atom. The calculation puts the uncorrected formation energy at 1.717 eV per atom.

The space group is P4/mmm (No. 123) and the conventional cell measures 4.0712, 4.0712 and 5.2032 Å, with angles of 90.00, 90.00 and 90.00 degrees. The inequivalent atoms are Sb at (0.0000, 0.0000, 0.0000), Te at (0.5000, 0.5000, 0.0000), S at (0.5000, 0.5000, 0.5000) and N at (0.0000, 0.5000, 0.5000).

Entry from the Alexandria database: Dy3Si4Ag after structural relaxation (PBE).

The calculation puts the uncorrected formation energy at -0.482 eV per atom.

The space group is Immm (No. 71) and the conventional cell measures 4.1890, 5.7968 and 14.8745 Å, with angles of 90.00, 90.00 and 90.00 degrees. The inequivalent atoms are Dy at (0.0000, 0.0000, 0.0000), Dy at (0.0000, 0.5000, 0.1928), Si at (0.0000, 0.2984, 0.3760) and Ag at (0.0000, 0.0000, 0.5000).

Entry from the Alexandria database: CdFeW after structural relaxation (PBE).

Its energy above the most stable polymorph in this dataset is 10 meV per atom.

The space group is Fmm2 (No. 42) and the conventional cell measures 3.1623, 4.4651 and 13.6570 Å, with angles of 90.00, 90.00 and 90.00 degrees. The inequivalent atoms are Cd at (0.0000, 0.0000, 0.0000), Fe at (0.0000, 0.0000, 0.6696) and W at (0.0000, 0.0000, 0.3127).

Entry from the Alexandria database: ZrPa5 after structural relaxation (PBE).

Its energy above the most stable polymorph in this dataset is 24 meV per atom.

The space group is Pmmn (No. 59, origin choice 2) and the conventional cell measures 4.4888, 9.9431 and 6.6781 Å, with angles of 90.00, 90.00 and 90.00 degrees. The inequivalent atoms are Zr at (0.2500, 0.2500, 0.1327), Pa at (0.2500, 0.2500, 0.6287), Pa at (0.2500, 0.5813, 0.6267) and Pa at (0.2500, 0.5843, 0.1194).

Entry from the Alexandria database: TaNi2Mo after structural relaxation (PBE).

Its energy above the most stable polymorph in this dataset is 172 meV per atom.

The space group is Imm2 (No. 44) and the conventional cell measures 3.7167, 3.7522 and 8.0279 Å, with angles of 90.00, 90.00 and 90.00 degrees. The inequivalent atoms are Ta at (0.0000, 0.0000, 0.0000), Ni at (0.0000, 0.0000, 0.5013), Ni at (0.0000, 0.5000, 0.2491) and Mo at (0.0000, 0.5000, 0.7507).

no.,mass density (Mg/m³),spin magnetization (μB/atom)
1,6.21,0.0000
2,5.96,0.2642
3,6.51,0.0000
4,12.13,0.6656
5,13.89,0.0000
6,11.70,0.0984